AcAsRuO | PBE | relaxed

a b c (Å): 4.220 4.220 8.848
angles (deg): 90.00 90.00 90.00
Fractional coordinates of all 8 atoms:
O1 0.500 0.500 0.500
O2 0.000 0.000 0.500
Ru1 0.500 0.500 0.000
Ru2 0.000 0.000 0.000
Ac1 0.500 0.000 0.645
Ac2 0.000 0.500 0.355
As1 0.500 0.000 0.142
As2 0.000 0.500 0.858

## Properties
The calculation puts the total magnetic moment at 0.0000 μB per atom. The density of states at the Fermi level is 0.203 states/eV/atom. For the uncorrected energy, the calculation gives -7.63 eV/atom. The theoretical density is 8.83 g/cm3. Its space group is No. 129.


AcAsRuO5 | PBE | relaxed

a b c (Å): 5.610 5.610 8.413
angles (deg): 98.01 98.01 107.74
Fractional coordinates of all 16 atoms:
O1 0.579 0.643 0.888
O2 0.352 0.040 0.773
O3 0.648 0.960 0.227
O4 0.040 0.352 0.273
O5 0.854 0.146 0.750
O6 0.421 0.357 0.112
O7 0.643 0.579 0.388
O8 0.960 0.648 0.727
O9 0.357 0.421 0.612
O10 0.146 0.854 0.250
As1 0.313 0.687 0.750
As2 0.687 0.313 0.250
Ac1 0.000 0.000 0.000
Ac2 0.000 0.000 0.500
Ru1 0.648 0.352 0.750
Ru2 0.352 0.648 0.250

## Properties
The calculation puts the total magnetic moment at 0.0000 μB per atom. The density of states at the Fermi level is 0.322 states/eV/atom. For the uncorrected energy, the calculation gives -6.83 eV/atom. The theoretical density is 6.55 g/cm3. Its space group is No. 15.


Ac4As2SO2 | PBE | relaxed

a b c (Å): 4.187 8.195 7.689
angles (deg): 111.38 90.00 104.80
Fractional coordinates of all 9 atoms:
O1 0.675 0.350 0.992
O2 0.325 0.650 0.008
Ac1 0.476 0.953 0.260
Ac2 0.524 0.047 0.740
Ac3 0.781 0.561 0.809
Ac4 0.219 0.439 0.191
As1 0.127 0.255 0.541
As2 0.873 0.745 0.459
S1 0.000 0.000 0.000

## Properties
The calculation puts the total magnetic moment at 0.0000 μB per atom. The density of states at the Fermi level is 0.011 states/eV/atom. For the uncorrected energy, the calculation gives -6.68 eV/atom. The theoretical density is 7.89 g/cm3. Its space group is No. 12.